An optimized crystal structure of HoIn2Ru. Source: Alexandria, functional GGA-PBE.

Structure (POSCAR):
```
HoIn2Ru
1.0
0.000 3.439 3.439
3.439 0.000 3.439
3.439 3.439 0.000
Ho In Ru
1 2 1
Cartesian
0.000 0.000 0.000 Ho
1.719 1.719 1.719 In
5.158 5.158 5.158 In
3.439 3.439 3.439 Ru
```

Computed properties:
energy relative to the elements	-0.181	eV per atom
E	-20.1	eV/cell
D(E_F)	2.9	states/eV/cell
density	10119	kg/m3